(a)
Computed, not measured: an optimized crystal structure of HfGaF2 at the PBE level of DFT.

Lattice parameters (Å, degrees): 4.3041 4.3041 4.3041 60.00 60.00 60.00
Each line ends with the local moment (μB).
Positions (direct):
Hf (0.5000, 0.5000, 0.5000)  0.31
F (0.7500, 0.7500, 0.7500)  0.02
F (0.2500, 0.2500, 0.2500)  0.02
Ga (0.0000, 0.0000, 0.0000)  0.06

The space-group type is Fm-3m, No. 225. The density of states at the Fermi level is 3.56 states/eV/f.u. The calculation puts the calculated density at 8.43 g cm⁻³.

=====

(b)
Computed, not measured: an optimized crystal structure of HfGaF2 at the PBE level of DFT.

Lattice parameters (Å, degrees): 4.2188 4.2188 7.8508 74.41 74.41 90.00
Each line ends with the local moment (μB).
Positions (direct):
Ga (0.5000, 0.5000, 0.0000)  0.11
Ga (0.2500, 0.7500, 0.5000)  0.12
Hf (0.0000, 0.0000, 0.0000)  0.25
Hf (0.7500, 0.2500, 0.5000)  0.27
F (0.9875, 0.6250, 0.2500)  0.02
F (0.7625, 0.1250, 0.2500)  0.02
F (0.8750, 0.0125, 0.7500)  0.02
F (0.3750, 0.2375, 0.7500)  0.02

The space-group type is I-42d, No. 122. The density of states at the Fermi level is 2.95 states/eV/f.u. The calculation puts the calculated density at 7.35 g cm⁻³.

=====

(c)
Computed, not measured: an optimized crystal structure of HfGaF2 at the PBE level of DFT.

Lattice parameters (Å, degrees): 9.8318 9.8318 9.8318 17.03 17.03 17.03
Positions (direct):
F (0.1140, 0.1140, 0.1140)
F (0.8860, 0.8860, 0.8860)
Hf (0.5000, 0.5000, 0.5000)
Ga (0.0000, 0.0000, 0.0000)

The space-group type is R-3m, No. 166. The density of states at the Fermi level is 1.11 states/eV/f.u. The calculation puts the calculated density at 6.69 g cm⁻³.

=====

Which is most stable, and by how much? (c), by 67 meV per atom.